Compound: NaVPO2
Source: the Alexandria database
Functional: PBE+U
Structure: optimized geometry

Output
* magnetization: 0.8 μB per cell
* crystal system: tetragonal
* V: 14.1 Å³/atom
* energy above the lowest structure with this stoichiometry: 0.00 eV per formula unit

Cell: 3.810 3.810 4.867 Å, 90.00 90.00 90.00°
Each line ends with the local moment (μB).
Fractional positions:
Na 0.500 0.500 0.500  0.02
V 0.000 0.000 0.000  -0.47
O 0.500 0.000 0.000  0.18
O 0.000 0.500 0.000  0.18
P 0.000 0.000 0.500  0.40